No. 1
Below is a PBEsol-optimized structure of InSBr2, with properties calculated at the SCAN level.

Results
Total magnetization, μB/cell: 0.0
DOS at the Fermi energy, states/eV per atom: 0.791
Symmetry: R-3m, No. 166
Raw formation energy, kJ per mole of atoms: 50
Calculated total energy, eV per atom: -19.9650

```
InSBr2
1.0
1.668 0.963 9.701
-1.668 0.963 9.701
0.000 -1.926 9.701
In S Br
1 1 2
direct
0.000 0.000 0.000
0.500 0.500 0.500
0.094 0.094 0.094
0.906 0.906 0.906
```

---

No. 2
Below is a PBEsol-optimized structure of InSBr2, with properties calculated at the SCAN level.

Results
Total magnetization, μB/cell: 2.0
DOS at the Fermi energy, states/eV per atom: 0.362
Symmetry: I-42d, No. 122
Raw formation energy, kJ per mole of atoms: -19
Calculated total energy, eV per atom: -20.6767

```
InSBr2
1.0
-4.896 4.896 2.497
4.896 -4.896 2.497
4.896 4.896 -2.497
In S Br
2 2 4
direct
0.000 0.000 0.000
0.750 0.250 0.500
0.250 0.750 0.500
0.500 0.500 0.000
0.375 0.014 0.139
0.764 0.625 0.639
0.875 0.236 0.861
0.986 0.125 0.361
```

---

No. 3
Below is a PBEsol-optimized structure of InSBr2, with properties calculated at the SCAN level.

Results
Total magnetization, μB/cell: 1.7
DOS at the Fermi energy, states/eV per atom: 0.796
Symmetry: Fm-3m, No. 225
Raw formation energy, kJ per mole of atoms: 27
Calculated total energy, eV per atom: -20.2022

```
InSBr2
1.0
0.000 3.573 3.573
3.573 0.000 3.573
3.573 3.573 0.000
In S Br
1 1 2
direct
0.000 0.000 0.000
0.500 0.500 0.500
0.250 0.250 0.250
0.750 0.750 0.750
```

---

No. 4
Below is a PBEsol-optimized structure of InSb2Br, with properties calculated at the SCAN level.

Results
Total magnetization, μB/cell: 0.0
DOS at the Fermi energy, states/eV per atom: 0.484
Symmetry: P4/mmm, No. 123
Raw formation energy, kJ per mole of atoms: 20
Calculated total energy, eV per atom: -31.6352

```
InSb2Br
1.0
5.535 0.000 0.000
0.000 5.535 0.000
0.000 0.000 3.355
In Sb Br
1 2 1
direct
0.000 0.000 0.000
0.000 0.500 0.500
0.500 0.000 0.500
0.500 0.500 0.000
```